Compound: Li7CdHg2
Source: Alexandria via LeMat-Bulk
Functional: PBE
Structure: optimized geometry

Output
Theoretical density ... 4912 kg/m³
Calculated total energy ... -1.689 eV per atom
Excess energy over the best structure of this formula in the dataset ... 0 meV/atom
E_form ... -0.197 eV per atom

Unit cell a=4.619 b=4.619 c=10.285 alpha=90.00 beta=90.00 gamma=120.00
Positions (direct):
Li 0.000 0.000 0.000
Li 0.000 0.000 0.245
Li 0.000 0.000 0.749
Li 0.333 0.667 0.395
Li 0.333 0.667 0.807
Li 0.667 0.333 0.193
Li 0.667 0.333 0.600
Cd 0.667 0.333 0.900
Hg 0.000 0.000 0.498
Hg 0.333 0.667 0.105